(1)
Rb2NaMoS4 after structural relaxation. Source: Alexandria, functional PBE-GGA.

## Properties
As for the uncorrected formation energy: -20.27 kcal/mol of atoms.

Unit cell a=14.0289 b=12.6676 c=7.5163 alpha=83.92 beta=63.88 gamma=32.19
Last column: nearest neighbours and their distance in Å.
Fractional coordinates of all 16 atoms:
Rb 0.0561 0.0561 0.6939  6 S 3.54-3.92
Rb 0.3061 0.3061 0.9439  6 S 3.54-3.92
Rb 0.6939 0.6939 0.0561  6 S 3.54-3.92
Rb 0.9439 0.9439 0.3061  6 S 3.54-3.92
Na 0.1250 0.1250 0.1250  4 S 2.68
Na 0.8750 0.8750 0.8750  4 S 2.68
Mo 0.3750 0.3750 0.3750  4 S 2.26
Mo 0.6250 0.6250 0.6250  4 S 2.26
S 0.0246 0.6192 0.5276  1 Mo 2.26
S 0.3285 0.5276 0.6192  1 Mo 2.26
S 0.3808 0.9754 0.6715  1 Mo 2.26
S 0.4724 0.6715 0.9754  1 Mo 2.26
S 0.5276 0.3285 0.0246  1 Mo 2.26
S 0.6192 0.0246 0.3285  1 Mo 2.26
S 0.6715 0.4724 0.3808  1 Mo 2.26
S 0.9754 0.3808 0.4724  1 Mo 2.26

***

(2)
RbNaMoSe4 after structural relaxation. Source: Alexandria, functional PBE-GGA.

## Properties
As for the uncorrected formation energy: -17.45 kcal/mol of atoms.

Unit cell a=6.8648 b=7.3198 c=9.5901 alpha=90.00 beta=108.37 gamma=90.00
Last column: nearest neighbours and their distance in Å.
Fractional coordinates of all 14 atoms:
Rb 0.2294 0.2500 0.4264  8 Se 3.53-3.79
Rb 0.7706 0.7500 0.5736  8 Se 3.53-3.79
Na 0.2712 0.2500 0.9529  6 Se 3.05-3.21
Na 0.7288 0.7500 0.0471  6 Se 3.05-3.21
Mo 0.2993 0.7500 0.1850  4 Se 2.31-2.35
Mo 0.7007 0.2500 0.8150  4 Se 2.31-2.35
Se 0.0983 0.7500 0.3425  1 Mo 2.35
Se 0.1025 0.7500 0.9397  1 Mo 2.31
Se 0.4836 0.5054 0.7701  1 Mo 2.34
Se 0.4836 0.9946 0.7701  1 Mo 2.34
Se 0.5164 0.0054 0.2299  1 Mo 2.34
Se 0.5164 0.4946 0.2299  1 Mo 2.34
Se 0.8975 0.2500 0.0603  1 Mo 2.31
Se 0.9017 0.2500 0.6575  1 Mo 2.35

***

(3)
Rb2NaTiMo after structural relaxation. Source: Alexandria, functional PBE-GGA.

## Properties
The value obtained for the formation energy is 1899 meV/atom.

Unit cell a=6.8785 b=6.8785 c=6.0108 alpha=90.00 beta=90.00 gamma=90.00
Last column: nearest neighbours and their distance in Å.
Fractional coordinates of all 5 atoms:
Rb 0.0000 0.5000 0.0000  2 Ti 3.44
Rb 0.5000 0.0000 0.0000  2 Ti 3.44
Na 0.0000 0.0000 0.5000  2 Ti 3.01
Ti 0.0000 0.0000 0.0000  2 Na 3.01
Mo 0.5000 0.5000 0.5000  8 Rb 4.57, 4 Na 4.86

***

(4)
NaReMo2 after structural relaxation. Source: Alexandria, functional PBE-GGA.

## Properties
Its excess energy over the best structure of this formula in the dataset is 408 meV/atom. The value obtained for the formation energy is 1196 meV/atom.

Unit cell a=7.3393 b=7.3393 c=5.5380 alpha=90.00 beta=90.00 gamma=90.00
Last column: nearest neighbours and their distance in Å.
Fractional coordinates of all 16 atoms:
Na 0.0000 0.0000 0.0000  2 Re 2.77, 4 Mo 2.92
Na 0.0000 0.5000 0.2500  2 Re 2.77, 4 Mo 2.92
Na 0.5000 0.0000 0.7500  2 Re 2.77, 4 Mo 2.92
Na 0.5000 0.5000 0.5000  2 Re 2.77, 4 Mo 2.92
Re 0.0000 0.0000 0.5000  4 Mo 2.47
Re 0.0000 0.5000 0.7500  4 Mo 2.47
Re 0.5000 0.0000 0.2500  4 Mo 2.47
Re 0.5000 0.5000 0.0000  4 Mo 2.47
Mo 0.2045 0.7500 0.6250  2 Re 2.47
Mo 0.2500 0.2045 0.3750  2 Re 2.47
Mo 0.2500 0.2955 0.8750  2 Re 2.47
Mo 0.2955 0.7500 0.1250  2 Re 2.47
Mo 0.7045 0.2500 0.1250  2 Re 2.47
Mo 0.7500 0.7045 0.8750  2 Re 2.47
Mo 0.7500 0.7955 0.3750  2 Re 2.47
Mo 0.7955 0.2500 0.6250  2 Re 2.47

***

So what do the calculations give for density? Going down the list: 2.618, 3.778, 1.972, 8.930 g/cm³.